# TeP2Cl (PBE, optimized geometry)
data_TeP2Cl
_symmetry_space_group_name_H-M 'P 4/m m m'
_symmetry_Int_Tables_number 123
_symmetry_space_group_name_Hall '-P 4 2'
_cell_length_a 4.690
_cell_length_b 4.690
_cell_length_c 3.576
_cell_angle_alpha 90.00
_cell_angle_beta 90.00
_cell_angle_gamma 90.00
loop_
_atom_site_label
_atom_site_fract_x
_atom_site_fract_y
_atom_site_fract_z
_atom_site_occupancy
Te1 0.000 0.000 0.000 1
P1 0.000 0.500 0.500 1
Cl1 0.500 0.500 0.000 1
# ΔE to the lowest computed polymorph (eV/f.u.): 3.57
# Uncorrected formation energy (eV/atom): 0.796
# Mass density (g/cm3): 4.750



# ZrCrMo2 (PBE, optimized geometry)
data_ZrCrMo2
_symmetry_space_group_name_H-M 'P 4/m m m'
_symmetry_Int_Tables_number 123
_symmetry_space_group_name_Hall '-P 4 2'
_cell_length_a 3.156
_cell_length_b 3.156
_cell_length_c 6.505
_cell_angle_alpha 90.00
_cell_angle_beta 90.00
_cell_angle_gamma 90.00
loop_
_atom_site_label
_atom_site_fract_x
_atom_site_fract_y
_atom_site_fract_z
_atom_site_occupancy
Zr1 0.000 0.000 0.000 1
Cr1 0.000 0.000 0.500 1
Mo1 0.500 0.500 0.277 1
# ΔE to the lowest computed polymorph (eV/f.u.): 0.17
# Mass density (g/cm3): 8.588



# CsBr2Cl (PBE, optimized geometry)
data_CsBr2Cl
_symmetry_space_group_name_H-M 'I -4 2 d'
_symmetry_Int_Tables_number 122
_symmetry_space_group_name_Hall 'I -4 2bw'
_cell_length_a 6.369
_cell_length_b 6.369
_cell_length_c 18.329
_cell_angle_alpha 90.00
_cell_angle_beta 90.00
_cell_angle_gamma 90.00
loop_
_atom_site_label
_atom_site_fract_x
_atom_site_fract_y
_atom_site_fract_z
_atom_site_occupancy
Cs1 0.000 0.000 0.000 1
Br1 0.120 0.250 0.625 1
Cl1 0.000 0.000 0.500 1
# Uncorrected formation energy (eV/atom): -0.605
# Mass density (g/cm3): 2.932



# TbPrTeI (PBE, optimized geometry)
data_TbPrTeI
_symmetry_space_group_name_H-M 'F -4 3 m'
_symmetry_Int_Tables_number 216
_symmetry_space_group_name_Hall 'F -4 2 3'
_cell_length_a 7.697
_cell_length_b 7.697
_cell_length_c 7.697
_cell_angle_alpha 90.00
_cell_angle_beta 90.00
_cell_angle_gamma 90.00
loop_
_atom_site_label
_atom_site_fract_x
_atom_site_fract_y
_atom_site_fract_z
_atom_site_occupancy
Tb1 0.000 0.000 0.000 1
Pr1 0.000 0.000 0.500 1
Te1 0.250 0.250 0.750 1
I1 0.250 0.250 0.250 1
# Uncorrected formation energy (eV/atom): -1.047
# Mass density (g/cm3): 8.074



# LaTb5PmDy2 (PBE, optimized geometry)
data_LaTb5PmDy2
_symmetry_space_group_name_H-M 'I 4/m c m'
_symmetry_Int_Tables_number 140
_symmetry_space_group_name_Hall '-I 4 2c'
_cell_length_a 8.861
_cell_length_b 8.861
_cell_length_c 15.259
_cell_angle_alpha 90.00
_cell_angle_beta 90.00
_cell_angle_gamma 90.00
loop_
_atom_site_label
_atom_site_fract_x
_atom_site_fract_y
_atom_site_fract_z
_atom_site_occupancy
La1 0.000 0.000 0.250 1
Tb1 0.000 0.000 0.000 1
Tb2 0.203 0.297 0.132 1
Pm1 0.000 0.500 0.250 1
Dy1 0.116 0.384 0.500 1
# DFT total energy (eV for the cell shown): -158.27
# Mass density (g/cm3): 7.781



# Rb2NbAsBr6 (PBE, optimized geometry)
data_Rb2NbAsBr6
_symmetry_space_group_name_H-M 'I 4/m m m'
_symmetry_Int_Tables_number 139
_symmetry_space_group_name_Hall '-I 4 2'
_cell_length_a 7.572
_cell_length_b 7.572
_cell_length_c 12.584
_cell_angle_alpha 90.00
_cell_angle_beta 90.00
_cell_angle_gamma 90.00
loop_
_atom_site_label
_atom_site_fract_x
_atom_site_fract_y
_atom_site_fract_z
_atom_site_occupancy
Rb1 0.000 0.500 0.250 1
Nb1 0.000 0.000 0.000 1
As1 0.000 0.000 0.500 1
Br1 0.000 0.000 0.212 1
Br2 0.249 0.249 0.000 1
# Uncorrected formation energy (eV/atom): -0.839
# Mass density (g/cm3): 3.766



# KTl6Sn (PBE, optimized geometry)
data_KTl6Sn
_symmetry_space_group_name_H-M 'P 4/m m m'
_symmetry_Int_Tables_number 123
_symmetry_space_group_name_Hall '-P 4 2'
_cell_length_a 5.028
_cell_length_b 5.028
_cell_length_c 11.219
_cell_angle_alpha 90.00
_cell_angle_beta 90.00
_cell_angle_gamma 90.00
loop_
_atom_site_label
_atom_site_fract_x
_atom_site_fract_y
_atom_site_fract_z
_atom_site_occupancy
K1 0.000 0.000 0.000 1
Tl1 0.000 0.500 0.326 1
Tl2 0.500 0.500 0.140 1
Sn1 0.000 0.000 0.500 1
# ΔE to the lowest computed polymorph (eV/f.u.): 0.25
# Mass density (g/cm3): 8.105



# Cd14HgPb (PBE, optimized geometry)
data_Cd14HgPb
_symmetry_space_group_name_H-M 'A m m 2'
_symmetry_Int_Tables_number 38
_cell_length_a 10.386
_cell_length_b 6.986
_cell_length_c 10.449
_cell_angle_alpha 90.00
_cell_angle_beta 90.00
_cell_angle_gamma 90.00
loop_
_symmetry_equiv_pos_as_xyz
'x,y,z'
'-x,-y,z'
'-x,y,z'
'x,-y,z'
'x,y+1/2,z+1/2'
'-x,-y+1/2,z+1/2'
'-x,y+1/2,z+1/2'
'x,-y+1/2,z+1/2'
loop_
_atom_site_label
_atom_site_fract_x
_atom_site_fract_y
_atom_site_fract_z
_atom_site_occupancy
Cd1 0.000 0.000 0.000 1
Cd2 0.000 0.000 0.491 1
Cd3 0.000 0.248 0.244 1
Cd4 0.239 0.000 0.657 1
Cd5 0.241 0.236 0.910 1
Cd6 0.252 0.000 0.169 1
Cd7 0.500 0.231 0.747 1
Hg1 0.500 0.000 0.005 1
Pb1 0.500 0.000 0.487 1
# DFT total energy (eV for the cell shown): -32.61
# Mass density (g/cm3): 8.680